6
Lattice="6.384 0.434 0.929 3.085 5.606 0.929 -0.842 -0.537 6.040" Properties=species:S:1:pos:R:3 comment="La4SmDy (PBE-GGA, optimized geometry)" n_ef_per_ev_cell=11.90 spacegroup="No. 12" formation_energy_ev_per_atom=0.0970 polymorph_energy_ev_per_atom=0.041 volume_a3_per_atom=35.6 pbc="T T T"
Sm 4.314 2.751 3.949
La 7.557 4.820 4.594
La 6.229 3.973 1.232
La 1.071 0.683 3.304
La 2.398 1.530 6.667
Dy 0.000 0.000 0.000